Entry 1:
Compound: CdRe2Sb
Source: Alexandria
Functional: PBE-GGA
Structure: relaxed

Calculated values
Size of the total moment, μB per formula unit: 0.000
Final energy, eV per cell: -54.7
SG: Cm
ΔE_f (raw), eV per atom: 0.6472
Energy relative to the lowest polymorph listed for this composition, eV/atom: 0.386

a b c (Å): 9.9508 3.1537 6.0468
angles (deg): 90.00 122.87 90.00
Fractional coordinates of all 8 atoms:
Cd1 0.0000 0.0000 0.0000
Cd2 0.5000 0.5000 0.0000
Re1 0.2643 0.5000 0.1107
Re2 0.3971 0.0000 0.4791
Re3 0.7643 0.0000 0.1107
Re4 0.8971 0.5000 0.4791
Sb1 0.1735 0.0000 0.6399
Sb2 0.6735 0.5000 0.6399



Entry 2:
Compound: CdReSb3
Source: Alexandria
Functional: PBE-GGA
Structure: relaxed

Calculated values
Size of the total moment, μB per formula unit: 0.000
Final energy, eV per cell: -22.6
SG: Pm-3m
ΔE_f (raw), eV per atom: 0.6177
Energy relative to the lowest polymorph listed for this composition, eV/atom: 0.000

a b c (Å): 5.2320 5.2320 5.2320
angles (deg): 90.00 90.00 90.00
Fractional coordinates of all 5 atoms:
Cd1 0.0000 0.0000 0.0000
Re1 0.5000 0.5000 0.5000
Sb1 0.0000 0.5000 0.5000
Sb2 0.5000 0.0000 0.5000
Sb3 0.5000 0.5000 0.0000



Entry 3:
Compound: CdRe2Sb
Source: Alexandria
Functional: PBE-GGA
Structure: relaxed

Calculated values
Size of the total moment, μB per formula unit: 0.000
Final energy, eV per cell: -28.9
SG: Pm
ΔE_f (raw), eV per atom: 0.2615
Energy relative to the lowest polymorph listed for this composition, eV/atom: 0.000

a b c (Å): 3.0262 3.0422 8.7371
angles (deg): 90.00 99.66 90.00
Fractional coordinates of all 4 atoms:
Cd1 0.0000 0.0000 0.0000
Re1 0.1982 0.0000 0.4120
Re2 0.6137 0.5000 0.2367
Sb1 0.8121 0.5000 0.6426



Please write out number 3 again, unchanged.
Compound: CdRe2Sb
Source: Alexandria
Functional: PBE-GGA
Structure: relaxed

Calculated values
Size of the total moment, μB per formula unit: 0.000
Final energy, eV per cell: -28.9
SG: Pm
ΔE_f (raw), eV per atom: 0.2615
Energy relative to the lowest polymorph listed for this composition, eV/atom: 0.000

a b c (Å): 3.0262 3.0422 8.7371
angles (deg): 90.00 99.66 90.00
Fractional coordinates of all 4 atoms:
Cd1 0.0000 0.0000 0.0000
Re1 0.1982 0.0000 0.4120
Re2 0.6137 0.5000 0.2367
Sb1 0.8121 0.5000 0.6426



Q: Which of these has the lowest ΔE_f (raw)?
A: number 3



Q: Which value of size of the total moment does entry 3 give?
A: 0.000 μB per formula unit